w) Compound: TbHoTmZn
Source: Alexandria
Functional: PBE-GGA
Structure: relaxed Values from VASP.

## Properties
Magnetization: 0.0 μB/f.u.

Cell and atoms, written as Quantum ESPRESSO input:
```
&SYSTEM
  ibrav = 0, nat = 4, ntyp = 4
/
ATOMIC_SPECIES
Tb 158.93 Tb.upf
Ho 164.93 Ho.upf
Tm 168.93 Tm.upf
Zn 65.41 Zn.upf
CELL_PARAMETERS angstrom
3.538 0.000 0.000
0.000 3.538 0.000
0.000 0.000 8.572
ATOMIC_POSITIONS crystal
Tb 0.000 0.000 0.000
Ho 0.500 0.500 0.704
Tm 0.500 0.500 0.293
Zn 0.000 0.000 0.495
```



x) Compound: TbHoTmZn
Source: Alexandria
Functional: PBE-GGA
Structure: relaxed Values from VASP.

## Properties
Magnetization: 0.0 μB/f.u.

Cell and atoms, written as Quantum ESPRESSO input:
```
&SYSTEM
  ibrav = 0, nat = 4, ntyp = 4
/
ATOMIC_SPECIES
Tb 158.93 Tb.upf
Ho 164.93 Ho.upf
Tm 168.93 Tm.upf
Zn 65.41 Zn.upf
CELL_PARAMETERS angstrom
0.000 3.748 3.748
3.748 0.000 3.748
3.748 3.748 0.000
ATOMIC_POSITIONS crystal
Tb 0.000 0.000 0.000
Ho 0.500 0.500 0.500
Tm 0.750 0.750 0.750
Zn 0.250 0.250 0.250
```



Q: Which of them is the least stable? A: x).



w) Compound: TbY6Ho4
Source: Alexandria
Functional: PBE-GGA
Structure: relaxed Values from VASP.

## Properties
Magnetization: 0.0 μB/f.u.

Cell and atoms, written as Quantum ESPRESSO input:
```
&SYSTEM
  ibrav = 0, nat = 11, ntyp = 3
/
ATOMIC_SPECIES
Tb 158.93 Tb.upf
Y 88.91 Y.upf
Ho 164.93 Ho.upf
CELL_PARAMETERS angstrom
-3.748 3.748 6.691
3.748 -3.748 6.691
3.748 3.748 -6.691
ATOMIC_POSITIONS crystal
Tb 0.000 0.000 0.000
Y 0.000 0.500 0.500
Y 0.047 0.580 0.000
Y 0.420 0.420 0.467
Y 0.500 0.000 0.500
Y 0.580 0.047 0.000
Y 0.953 0.953 0.533
Ho 0.258 0.258 0.673
Ho 0.416 0.742 0.000
Ho 0.584 0.584 0.327
Ho 0.742 0.416 0.000
```



x) Compound: TbY6Ho4
Source: Alexandria
Functional: PBE-GGA
Structure: relaxed Values from VASP.

## Properties
Magnetization: 0.0 μB/f.u.

Cell and atoms, written as Quantum ESPRESSO input:
```
&SYSTEM
  ibrav = 0, nat = 22, ntyp = 3
/
ATOMIC_SPECIES
Tb 158.93 Tb.upf
Y 88.91 Y.upf
Ho 164.93 Ho.upf
CELL_PARAMETERS angstrom
2.837 -4.837 0.000
2.837 4.837 0.000
0.000 0.000 25.708
ATOMIC_POSITIONS crystal
Tb 0.178 0.822 0.750
Tb 0.822 0.178 0.250
Y 0.153 0.847 0.181
Y 0.153 0.847 0.319
Y 0.180 0.820 0.603
Y 0.180 0.820 0.897
Y 0.488 0.512 0.250
Y 0.500 0.500 0.000
Y 0.500 0.500 0.500
Y 0.512 0.488 0.750
Y 0.820 0.180 0.103
Y 0.820 0.180 0.397
Y 0.847 0.153 0.681
Y 0.847 0.153 0.819
Ho 0.161 0.839 0.042
Ho 0.161 0.839 0.458
Ho 0.483 0.517 0.121
Ho 0.483 0.517 0.379
Ho 0.517 0.483 0.621
Ho 0.517 0.483 0.879
Ho 0.839 0.161 0.542
Ho 0.839 0.161 0.958
```



Q: Which of them is the least stable? A: w).



w) Compound: TbY2Ho
Source: Alexandria
Functional: PBE-GGA
Structure: relaxed Values from VASP.

## Properties
Magnetization: 0.0 μB/f.u.

Cell and atoms, written as Quantum ESPRESSO input:
```
&SYSTEM
  ibrav = 0, nat = 4, ntyp = 3
/
ATOMIC_SPECIES
Tb 158.93 Tb.upf
Y 88.91 Y.upf
Ho 164.93 Ho.upf
CELL_PARAMETERS angstrom
3.556 0.000 0.000
0.000 3.556 0.000
0.000 0.000 10.069
ATOMIC_POSITIONS crystal
Tb 0.000 0.000 0.000
Y 0.500 0.500 0.251
Y 0.500 0.500 0.749
Ho 0.000 0.000 0.500
```



x) Compound: TbY2Ho
Source: Alexandria
Functional: PBE-GGA
Structure: relaxed Values from VASP.

## Properties
Magnetization: 0.0 μB/f.u.

Cell and atoms, written as Quantum ESPRESSO input:
```
&SYSTEM
  ibrav = 0, nat = 4, ntyp = 3
/
ATOMIC_SPECIES
Tb 158.93 Tb.upf
Y 88.91 Y.upf
Ho 164.93 Ho.upf
CELL_PARAMETERS angstrom
0.000 4.017 4.017
4.017 0.000 4.017
4.017 4.017 0.000
ATOMIC_POSITIONS crystal
Tb 0.000 0.000 0.000
Y 0.250 0.250 0.250
Y 0.750 0.750 0.750
Ho 0.500 0.500 0.500
```



y) Compound: TbY2Ho
Source: Alexandria
Functional: PBE-GGA
Structure: relaxed Values from VASP.

## Properties
Magnetization: 0.0 μB/f.u.

Cell and atoms, written as Quantum ESPRESSO input:
```
&SYSTEM
  ibrav = 0, nat = 4, ntyp = 3
/
ATOMIC_SPECIES
Tb 158.93 Tb.upf
Y 88.91 Y.upf
Ho 164.93 Ho.upf
CELL_PARAMETERS angstrom
3.105 -1.794 0.000
3.105 1.794 0.000
-2.056 0.000 11.470
ATOMIC_POSITIONS crystal
Tb 0.000 0.000 0.000
Y 0.250 0.250 0.751
Y 0.833 0.833 0.499
Ho 0.416 0.416 0.249
```



z) Compound: TbY2Ho
Source: Alexandria
Functional: PBE-GGA
Structure: relaxed Values from VASP.

## Properties
Magnetization: 0.0 μB/f.u.

Cell and atoms, written as Quantum ESPRESSO input:
```
&SYSTEM
  ibrav = 0, nat = 4, ntyp = 3
/
ATOMIC_SPECIES
Tb 158.93 Tb.upf
Y 88.91 Y.upf
Ho 164.93 Ho.upf
CELL_PARAMETERS angstrom
3.637 0.000 0.000
-0.003 6.290 0.000
-1.817 -3.145 5.653
ATOMIC_POSITIONS crystal
Tb 0.000 0.000 0.000
Y 0.502 0.503 0.004
Y 0.749 0.417 0.501
Ho 0.250 0.919 0.503
```



Q: Which of them is the least stable? A: x).



w) Compound: TbY2Ho
Source: Alexandria
Functional: PBE-GGA
Structure: relaxed Values from VASP.

## Properties
Magnetization: 0.0 μB/f.u.

Cell and atoms, written as Quantum ESPRESSO input:
```
&SYSTEM
  ibrav = 0, nat = 4, ntyp = 3
/
ATOMIC_SPECIES
Tb 158.93 Tb.upf
Y 88.91 Y.upf
Ho 164.93 Ho.upf
CELL_PARAMETERS angstrom
1.779 1.027 11.596
-1.779 1.027 11.596
0.000 -2.054 11.596
ATOMIC_POSITIONS crystal
Tb 0.000 0.000 0.000
Y 0.250 0.250 0.250
Y 0.750 0.750 0.750
Ho 0.500 0.500 0.500
```



x) Compound: TbY2Ho
Source: Alexandria
Functional: PBE-GGA
Structure: relaxed Values from VASP.

## Properties
Magnetization: 0.0 μB/f.u.

Cell and atoms, written as Quantum ESPRESSO input:
```
&SYSTEM
  ibrav = 0, nat = 4, ntyp = 3
/
ATOMIC_SPECIES
Tb 158.93 Tb.upf
Y 88.91 Y.upf
Ho 164.93 Ho.upf
CELL_PARAMETERS angstrom
1.793 1.035 11.467
-1.793 1.035 11.467
0.000 -2.071 11.467
ATOMIC_POSITIONS crystal
Tb 0.000 0.000 0.000
Y 0.418 0.418 0.418
Y 0.583 0.583 0.583
Ho 0.834 0.834 0.834
```



Q: Which of them is the least stable? A: w).